Computed, not measured: Mg5TlIn after structural relaxation at the PBE level of DFT.

a b c (Å): 4.873 4.873 7.203
angles (deg): 90.00 90.00 90.00
Atoms (fractional coordinates):
Mg1 0.000 0.500 0.772
Mg2 0.000 0.500 0.228
Mg3 0.500 0.000 0.772
Mg4 0.500 0.000 0.228
Mg5 0.500 0.500 0.500
Tl1 0.000 0.000 0.500
In1 0.500 0.500 0.000

Results
Energy: -1.889 eV/atom
Total moment: 0.00 μB per atom
Density of states at the Fermi level: 2.12 states/eV/cell
Energy relative to the elements: -0.02 eV per atom
Calculated volume: 171.0 Å³ per cell
Energy relative to the lowest polymorph listed for this composition: 0.000 eV/atom
Theoretical density: 4.28 Mg/m³

---

Computed, not measured: Mg2Tl3In8 after structural relaxation at the PBE level of DFT.

a b c (Å): 4.690 7.692 10.135
angles (deg): 79.14 90.00 90.00
Atoms (fractional coordinates):
Mg1 0.500 0.693 0.422
Mg2 0.500 0.307 0.578
Tl1 0.500 0.000 0.000
Tl2 0.000 0.276 0.081
Tl3 0.000 0.724 0.919
In1 0.000 0.391 0.378
In2 0.000 0.609 0.622
In3 0.000 0.852 0.246
In4 0.000 0.148 0.754
In5 0.500 0.895 0.660
In6 0.500 0.444 0.845
In7 0.500 0.556 0.155
In8 0.500 0.105 0.340

Results
Energy: -2.455 eV/atom
Total moment: 0.00 μB per atom
Density of states at the Fermi level: 4.70 states/eV/cell
Energy relative to the elements: 0.02 eV per atom
Calculated volume: 359.1 Å³ per cell
Theoretical density: 7.31 Mg/m³

---

Computed, not measured: Mg12Tl5In2 after structural relaxation at the PBE level of DFT.

a b c (Å): 5.783 9.664 9.664
angles (deg): 64.14 75.85 75.85
Atoms (fractional coordinates):
Mg1 0.017 0.895 0.895
Mg2 0.205 0.543 0.061
Mg3 0.205 0.061 0.543
Mg4 0.614 0.651 0.150
Mg5 0.614 0.150 0.651
Mg6 0.292 0.449 0.449
Mg7 0.708 0.551 0.551
Mg8 0.386 0.349 0.850
Mg9 0.386 0.850 0.349
Mg10 0.795 0.457 0.939
Mg11 0.795 0.939 0.457
Mg12 0.983 0.105 0.105
Tl1 0.447 0.209 0.209
Tl2 0.853 0.321 0.321
Tl3 0.500 0.000 0.000
Tl4 0.147 0.679 0.679
Tl5 0.553 0.791 0.791
In1 0.000 0.249 0.751
In2 0.000 0.751 0.249

Results
Energy: -1.931 eV/atom
Total moment: 0.00 μB per atom
Density of states at the Fermi level: 8.90 states/eV/cell
Energy relative to the elements: -0.01 eV per atom
Calculated volume: 465.3 Å³ per cell
Energy relative to the lowest polymorph listed for this composition: 0.000 eV/atom
Theoretical density: 5.51 Mg/m³

---

Computed, not measured: Mg2Tl4In after structural relaxation at the PBE level of DFT.

a b c (Å): 8.248 6.477 8.725
angles (deg): 90.00 121.47 90.00
Atoms (fractional coordinates):
Mg1 0.808 0.750 0.083
Mg2 0.192 0.250 0.917
Mg3 0.329 0.250 0.376
Mg4 0.671 0.750 0.624
Tl1 0.559 0.502 0.226
Tl2 0.107 0.750 0.948
Tl3 0.893 0.250 0.052
Tl4 0.559 0.998 0.226
Tl5 0.016 0.250 0.471
Tl6 0.441 0.002 0.774
Tl7 0.441 0.498 0.774
Tl8 0.984 0.750 0.529
In1 0.246 0.750 0.358
In2 0.754 0.250 0.642

Results
Energy: -2.162 eV/atom
Total moment: 0.00 μB per atom
Density of states at the Fermi level: 6.78 states/eV/cell
Energy relative to the elements: 0.04 eV per atom
Calculated volume: 397.5 Å³ per cell
Theoretical density: 8.19 Mg/m³